RbSiF2 | PBE | relaxed

Structure (POSCAR):
```
RbSiF2
1.0
-1.441 -3.139 -3.192
-4.545 -0.231 -1.185
-1.397 1.443 -4.252
Si F Rb
1 2 1
direct
0.000 0.000 0.000 Si
0.250 0.250 0.250 F
0.750 0.750 0.750 F
0.500 0.500 0.500 Rb
```

Computed properties:
DFT total energy	-3.58	eV per atom
ΔE to the lowest computed polymorph	69.2	kJ per mole of atoms
formation energy without anion corrections	-1045	meV/atom
D(E_F)	2.05	states/eV/cell